Below is an optimized crystal structure of BaInMo4, with properties calculated at the PBE level.

Lattice parameters (Å, degrees): 5.573 5.573 5.573 60.00 60.00 60.00
Fractional coordinates of all 6 atoms:
Mo  0.376  0.872  0.376
Mo  0.376  0.376  0.872
Mo  0.376  0.376  0.376
Mo  0.872  0.376  0.376
In  0.000  0.000  0.000
Ba  0.750  0.750  0.750

Properties
total moment = 0.000 μB/atom
total energy = -7.233 eV/atom
space group = F-43m, No. 216
energy relative to the elements = 0.765 eV per atom